Entry from Alexandria via LeMat-Bulk: YTa2Mn after structural relaxation (PBE-GGA).

Unit cell a=3.093 b=4.128 c=6.367 alpha=90.00 beta=101.60 gamma=90.00
Sites, in units of the cell vectors:
Y: 0.000 0.000 0.000
Ta: 0.372 0.500 0.663
Ta: 0.832 0.000 0.456
Mn: 0.463 0.500 0.296

Output
E above lowest polymorph ... 0.125 eV per atom
ΔH_f (0 K) ... 326.3 meV/atom
Space-group type ... Pm (6)

Entry from Alexandria via LeMat-Bulk: BeAl2Se after structural relaxation (PBE-GGA).

Unit cell a=3.396 b=3.395 c=6.375 alpha=90.00 beta=90.07 gamma=90.00
Sites, in units of the cell vectors:
Be: 0.000 0.000 0.000
Al: 0.001 0.000 0.397
Al: 0.500 0.500 0.143
Se: 0.998 0.500 0.793

Output
E above lowest polymorph ... 0.053 eV per atom
Formation energy without anion corrections ... 0.099 eV/atom
Space-group type ... Pm (6)

Entry from Alexandria via LeMat-Bulk: MgTcSnP after structural relaxation (PBE-GGA).

Unit cell a=3.845 b=3.845 c=6.855 alpha=90.00 beta=90.00 gamma=120.00
Sites, in units of the cell vectors:
Mg: 0.000 0.000 0.000
Tc: 0.667 0.333 0.289
Sn: 0.667 0.333 0.681
P: 0.333 0.667 0.242

Output
E above lowest polymorph ... 0.128 eV per atom
ΔH_f (0 K) ... -134.2 meV/atom
Space-group type ... P3m1 (156)

Entry from Alexandria via LeMat-Bulk: YMn3Pt after structural relaxation (PBE-GGA).

Unit cell a=4.686 b=4.686 c=4.686 alpha=90.00 beta=90.00 gamma=90.00
Sites, in units of the cell vectors:
Y: 0.000 0.000 0.000
Mn: 0.000 0.000 0.500
Mn: 0.000 0.500 0.000
Mn: 0.500 0.000 0.000
Pt: 0.500 0.500 0.500

Output
E above lowest polymorph ... 1.231 eV per atom
ΔH_f (0 K) ... 1666.8 meV/atom
Space-group type ... Pm-3m (221)

Entry from Alexandria via LeMat-Bulk: SmScTlRh after structural relaxation (PBE-GGA).

Unit cell a=7.129 b=7.129 c=7.129 alpha=90.00 beta=90.00 gamma=90.00
Sites, in units of the cell vectors:
Sm: 0.000 0.000 0.000
Sm: 0.000 0.500 0.500
Sm: 0.500 0.000 0.500
Sm: 0.500 0.500 0.000
Sc: 0.000 0.000 0.500
Sc: 0.000 0.500 0.000
Sc: 0.500 0.000 0.000
Sc: 0.500 0.500 0.500
Tl: 0.250 0.250 0.750
Tl: 0.250 0.750 0.250
Tl: 0.750 0.250 0.250
Tl: 0.750 0.750 0.750
Rh: 0.250 0.250 0.250
Rh: 0.250 0.750 0.750
Rh: 0.750 0.250 0.750
Rh: 0.750 0.750 0.250

Output
ΔH_f (0 K) ... -432.2 meV/atom
Space-group type ... F-43m (216)

Entry from Alexandria via LeMat-Bulk: LiCo after structural relaxation (PBE-GGA).

Unit cell a=7.499 b=6.943 c=4.215 alpha=80.43 beta=65.91 gamma=33.66
Sites, in units of the cell vectors:
Li: 0.037 0.713 0.037
Li: 0.287 0.963 0.287
Li: 0.713 0.037 0.713
Li: 0.963 0.287 0.963
Co: 0.290 0.290 0.460
Co: 0.460 0.460 0.290
Co: 0.540 0.540 0.710
Co: 0.710 0.710 0.540

Output
ΔH_f (0 K) ... 350.2 meV/atom
Space-group type ... Fddd (70)

Entry from Alexandria via LeMat-Bulk: Tl4Sb5 after structural relaxation (PBE-GGA).

Unit cell a=9.535 b=9.535 c=6.760 alpha=90.00 beta=90.00 gamma=120.00
Sites, in units of the cell vectors:
Tl: 0.000 0.000 0.000
Tl: 0.000 0.000 0.500
Tl: 0.000 0.307 0.250
Tl: 0.000 0.693 0.750
Tl: 0.307 0.000 0.250
Tl: 0.307 0.307 0.750
Tl: 0.693 0.000 0.750
Tl: 0.693 0.693 0.250
Sb: 0.000 0.373 0.750
Sb: 0.000 0.627 0.250
Sb: 0.333 0.667 0.000
Sb: 0.333 0.667 0.500
Sb: 0.373 0.000 0.750
Sb: 0.373 0.373 0.250
Sb: 0.627 0.000 0.250
Sb: 0.627 0.627 0.750
Sb: 0.667 0.333 0.000
Sb: 0.667 0.333 0.500

Output
Formation energy without anion corrections ... 0.155 eV/atom
Space-group type ... P6_3/mcm (193)

Entry from Alexandria via LeMat-Bulk: CaTaPb2 after structural relaxation (PBE-GGA).

Unit cell a=3.240 b=5.294 c=6.092 alpha=90.00 beta=90.00 gamma=90.00
Sites, in units of the cell vectors:
Ca: 0.000 0.000 0.000
Ta: 0.500 0.500 0.709
Pb: 0.000 0.000 0.513
Pb: 0.500 0.500 0.188

Output
ΔH_f (0 K) ... 404.0 meV/atom
Space-group type ... Pmm2 (25)

Entry from Alexandria via LeMat-Bulk: AsRu2Se after structural relaxation (PBE-GGA).

Unit cell a=7.842 b=3.038 c=5.268 alpha=90.00 beta=103.12 gamma=90.00
Sites, in units of the cell vectors:
As: 0.000 0.000 0.000
As: 0.500 0.500 0.000
Ru: 0.248 0.500 0.242
Ru: 0.252 0.000 0.758
Ru: 0.748 0.000 0.242
Ru: 0.752 0.500 0.758
Se: 0.000 0.500 0.500
Se: 0.500 0.000 0.500

Output
E above lowest polymorph ... 0.119 eV per atom
Formation energy without anion corrections ... 0.074 eV/atom
Space-group type ... C2/m (12)

Entry from Alexandria via LeMat-Bulk: Be2InBr after structural relaxation (PBE-GGA).

Unit cell a=7.010 b=7.010 c=7.010 alpha=90.00 beta=90.00 gamma=90.00
Sites, in units of the cell vectors:
Be: 0.000 0.000 0.000
Be: 0.000 0.500 0.500
Be: 0.250 0.250 0.250
Be: 0.250 0.750 0.750
Be: 0.500 0.000 0.500
Be: 0.500 0.500 0.000
Be: 0.750 0.250 0.750
Be: 0.750 0.750 0.250
In: 0.000 0.000 0.500
In: 0.000 0.500 0.000
In: 0.500 0.000 0.000
In: 0.500 0.500 0.500
Br: 0.250 0.250 0.750
Br: 0.250 0.750 0.250
Br: 0.750 0.250 0.250
Br: 0.750 0.750 0.750

Output
E above lowest polymorph ... 0.787 eV per atom
Formation energy without anion corrections ... 1.040 eV/atom
Space-group type ... F-43m (216)

Entry from Alexandria via LeMat-Bulk: CaCd2Rh after structural relaxation (PBE-GGA).

Unit cell a=5.736 b=10.495 c=3.248 alpha=90.00 beta=120.12 gamma=90.00
Sites, in units of the cell vectors:
Ca: 0.000 0.000 0.000
Ca: 0.500 0.500 0.000
Cd: 0.250 0.250 0.500
Cd: 0.250 0.750 0.500
Cd: 0.750 0.250 0.500
Cd: 0.750 0.750 0.500
Rh: 0.000 0.500 0.000
Rh: 0.500 0.000 0.000

Output
ΔH_f (0 K) ... -64.9 meV/atom
Space-group type ... C2/m (12)

Entry from Alexandria via LeMat-Bulk: KVPb3 after structural relaxation (PBE-GGA).

Unit cell a=5.387 b=5.387 c=5.387 alpha=90.00 beta=90.00 gamma=90.00
Sites, in units of the cell vectors:
K: 0.000 0.000 0.000
V: 0.500 0.500 0.500
Pb: 0.000 0.500 0.500
Pb: 0.500 0.000 0.500
Pb: 0.500 0.500 0.000

Output
E above lowest polymorph ... 0.000 eV per atom
ΔH_f (0 K) ... 109.7 meV/atom
Space-group type ... Pm-3m (221)

Entry from Alexandria via LeMat-Bulk: MgMnNi2 after structural relaxation (PBE-GGA).

Unit cell a=9.171 b=2.843 c=4.277 alpha=90.00 beta=109.32 gamma=90.00
Sites, in units of the cell vectors:
Mg: 0.000 0.000 0.000
Mg: 0.500 0.500 0.000
Mn: 0.273 0.500 0.341
Mn: 0.773 0.000 0.341
Ni: 0.016 0.500 0.508
Ni: 0.249 0.000 0.818
Ni: 0.516 0.000 0.508
Ni: 0.749 0.500 0.818

Output
ΔH_f (0 K) ... -24.2 meV/atom
Space-group type ... Cm (8)

Entry from Alexandria via LeMat-Bulk: In2NiSb after structural relaxation (PBE-GGA).

Unit cell a=3.277 b=4.190 c=13.377 alpha=90.00 beta=90.00 gamma=90.00
Sites, in units of the cell vectors:
In: 0.000 0.000 0.178
In: 0.000 0.000 0.822
In: 0.500 0.500 0.322
In: 0.500 0.500 0.678
Ni: 0.000 0.500 0.500
Ni: 0.500 0.000 0.000
Sb: 0.000 0.500 0.000
Sb: 0.500 0.000 0.500

Output
Formation energy without anion corrections ... 0.039 eV/atom
Space-group type ... Immm (71)

Entry from Alexandria via LeMat-Bulk: Pr3Sm2HoTm6 after structural relaxation (PBE-GGA).

Unit cell a=6.200 b=6.200 c=11.721 alpha=95.04 beta=95.04 gamma=119.98
Sites, in units of the cell vectors:
Pr: 0.000 0.000 0.000
Pr: 0.333 0.667 0.000
Pr: 0.667 0.333 0.000
Sm: 0.166 0.834 0.500
Sm: 0.834 0.166 0.500
Ho: 0.500 0.500 0.500
Tm: 0.084 0.418 0.253
Tm: 0.249 0.249 0.747
Tm: 0.418 0.084 0.253
Tm: 0.582 0.916 0.747
Tm: 0.751 0.751 0.253
Tm: 0.916 0.582 0.747

Output
ΔH_f (0 K) ... 20.5 meV/atom
Space-group type ... C2/m (12)

Entry from Alexandria via LeMat-Bulk: La2Tb6YTm after structural relaxation (PBE-GGA).

Unit cell a=8.798 b=8.798 c=9.856 alpha=95.00 beta=95.00 gamma=118.20
Sites, in units of the cell vectors:
La: 0.195 0.298 0.042
La: 0.298 0.195 0.542
La: 0.702 0.805 0.458
La: 0.805 0.702 0.958
Tb: 0.021 0.580 0.190
Tb: 0.125 0.740 0.557
Tb: 0.260 0.875 0.943
Tb: 0.294 0.502 0.381
Tb: 0.420 0.979 0.310
Tb: 0.498 0.706 0.119
Tb: 0.502 0.294 0.881
Tb: 0.580 0.021 0.690
Tb: 0.706 0.498 0.619
Tb: 0.740 0.125 0.057
Tb: 0.875 0.260 0.443
Tb: 0.979 0.420 0.810
Y: 0.014 0.986 0.250
Y: 0.986 0.014 0.750
Tm: 0.405 0.595 0.750
Tm: 0.595 0.405 0.250

Output
ΔH_f (0 K) ... 117.2 meV/atom
Space-group type ... C2/c (15)

Entry from Alexandria via LeMat-Bulk: NaSr3Pd after structural relaxation (PBE-GGA).

Unit cell a=13.989 b=13.989 c=13.989 alpha=152.72 beta=152.72 gamma=38.96
Sites, in units of the cell vectors:
Na: 0.000 0.000 0.000
Na: 0.750 0.250 0.500
Sr: 0.280 0.280 0.000
Sr: 0.375 0.134 0.241
Sr: 0.720 0.720 0.000
Sr: 0.866 0.107 0.241
Sr: 0.866 0.625 0.759
Sr: 0.893 0.134 0.759
Pd: 0.199 0.699 0.500
Pd: 0.301 0.801 0.500

Output
E above lowest polymorph ... 0.746 eV per atom
ΔH_f (0 K) ... 460.3 meV/atom
Space-group type ... I-4m2 (119)

Entry from Alexandria via LeMat-Bulk: PmBi2P after structural relaxation (PBE-GGA).

Unit cell a=4.426 b=4.426 c=5.596 alpha=90.00 beta=90.00 gamma=90.00
Sites, in units of the cell vectors:
Pm: 0.000 0.000 0.000
Bi: 0.000 0.500 0.500
Bi: 0.500 0.000 0.500
P: 0.500 0.500 0.000

Output
ΔH_f (0 K) ... -344.3 meV/atom
Space-group type ... P4/mmm (123)

Entry from Alexandria via LeMat-Bulk: In2Ga3Sn2 after structural relaxation (PBE-GGA).

Unit cell a=4.905 b=6.109 c=6.110 alpha=95.27 beta=90.53 gamma=113.02
Sites, in units of the cell vectors:
In: 0.057 0.109 0.268
In: 0.943 0.891 0.732
Ga: 0.259 0.514 0.865
Ga: 0.500 0.000 0.000
Ga: 0.741 0.486 0.135
Sn: 0.339 0.689 0.383
Sn: 0.661 0.311 0.617

Output
E above lowest polymorph ... 0.000 eV per atom
ΔH_f (0 K) ... 37.3 meV/atom
Space-group type ... P-1 (2)

Entry from Alexandria via LeMat-Bulk: YSc3Te after structural relaxation (PBE-GGA).

Unit cell a=5.365 b=5.365 c=5.365 alpha=90.00 beta=90.00 gamma=90.00
Sites, in units of the cell vectors:
Y: 0.000 0.000 0.000
Sc: 0.000 0.500 0.500
Sc: 0.500 0.000 0.500
Sc: 0.500 0.500 0.000
Te: 0.500 0.500 0.500

Output
E above lowest polymorph ... 0.000 eV per atom
Formation energy without anion corrections ... 0.010 eV/atom
Space-group type ... Pm-3m (221)